# 1
Sn2Pb5: relaxed, PBE.

POSCAR file:
```
Sn2Pb5
1.0
-7.735 0.287 -2.948
1.007 -6.055 -3.231
1.367 -3.858 7.672
Sn Pb
4 10
Direct
0.328 0.000 0.231
0.672 0.000 0.769
0.903 0.500 0.231
0.097 0.500 0.769
0.284 0.499 0.201
0.722 0.250 0.445
0.723 0.750 0.445
0.917 0.999 0.201
0.083 0.001 0.799
0.500 0.750 0.000
0.277 0.250 0.555
0.716 0.501 0.799
0.278 0.750 0.555
0.500 0.250 0.000
```

Output
**Magnetization**: 0.00 μB per formula unit
**Formation energy**: 6.0 kJ per mole of atoms
**Energy above the lowest structure with this stoichiometry**: 28.7 kJ/mol of formula units
**VASP energy**: -52.22 eV/cell

=====

# 2
Cs6Rb3Br: relaxed, PBE.

POSCAR file:
```
Cs6Rb3Br
1.0
7.461 0.000 0.000
0.000 15.791 -1.255
0.000 1.391 15.780
Cs Rb Br
12 6 2
Direct
0.648 0.589 0.085
0.649 0.254 0.413
0.148 0.411 0.915
0.649 0.247 0.753
0.149 0.753 0.247
0.149 0.413 0.254
0.648 0.916 0.084
0.148 0.085 0.589
0.148 0.084 0.916
0.149 0.746 0.587
0.648 0.915 0.411
0.649 0.587 0.746
0.149 0.090 0.248
0.149 0.412 0.588
0.149 0.752 0.910
0.649 0.588 0.412
0.649 0.910 0.752
0.649 0.248 0.090
0.149 0.249 0.751
0.649 0.751 0.249
```

Output
**Magnetization**: 0.00 μB per formula unit
**VASP energy**: -26.03 eV/cell
**Uncorrected formation energy**: -0.3320 eV/atom

=====

# 3
ZrTlPb2Br: relaxed, PBE.

POSCAR file:
```
ZrTlPb2Br
1.0
-2.086 -0.342 -5.451
5.024 -1.725 -1.814
-1.564 -5.553 0.947
Pb Br Zr Tl
2 1 1 1
Direct
0.500 0.000 0.000
0.000 0.000 0.500
0.500 0.500 0.500
0.000 0.500 0.000
0.000 0.000 0.000
```

Output
**Magnetization**: 0.00 μB per formula unit
**VASP energy**: -16.17 eV/cell
**Uncorrected formation energy**: 0.7667 eV/atom

=====

# 4
ZrAlFe2: relaxed, PBE.

POSCAR file:
```
ZrAlFe2
1.0
-1.521 3.640 1.974
-3.585 2.030 -1.577
-3.786 -0.135 2.261
Zr Fe Al
1 2 1
Direct
0.750 0.750 0.750
0.250 0.250 0.250
0.000 0.000 0.000
0.500 0.500 0.500
```

Output
**Magnetization**: 4.86 μB per formula unit
**Formation energy**: -8.3 kJ per mole of atoms
**VASP energy**: -29.56 eV/cell

=====

# 5
BeS: relaxed, PBE.

POSCAR file:
```
BeS
1.0
-1.558 -2.447 1.920
2.871 -1.959 -0.166
2.150 2.715 5.160
Be S
2 2
Direct
0.250 0.750 0.000
0.750 0.250 0.000
0.251 0.250 0.196
0.749 0.750 0.804
```

Output
**Magnetization**: 0.00 μB per formula unit
**Energy above the lowest structure with this stoichiometry**: 27.1 kJ/mol of formula units
**VASP energy**: -19.42 eV/cell
**Uncorrected formation energy**: -0.9271 eV/atom

=====

# 6
PuPaPS: relaxed, PBE.

POSCAR file:
```
PuPaPS
1.0
-1.136 4.324 -1.860
-4.467 1.782 0.567
-0.745 3.778 2.935
P Pu Pa S
1 1 1 1
Direct
0.250 0.250 0.250
0.000 0.000 0.000
0.500 0.500 0.500
0.750 0.750 0.750
```

Output
**Magnetization**: 7.38 μB per formula unit
**Energy above the lowest structure with this stoichiometry**: 119.9 kJ/mol of formula units
**VASP energy**: -38.07 eV/cell
**Uncorrected formation energy**: -1.1772 eV/atom

=====

# 7
CeSbRh2: relaxed, PBE.

POSCAR file:
```
CeSbRh2
1.0
4.630 0.000 0.000
0.000 6.849 0.001
0.000 -0.001 10.034
Rh Sb Ce
8 4 4
Direct
0.250 0.956 0.907
0.750 0.216 0.559
0.750 0.544 0.407
0.250 0.284 0.059
0.750 0.044 0.093
0.750 0.716 0.941
0.250 0.784 0.441
0.250 0.456 0.593
0.750 0.443 0.142
0.250 0.557 0.858
0.750 0.943 0.358
0.250 0.057 0.642
0.750 0.224 0.845
0.750 0.724 0.655
0.250 0.276 0.345
0.250 0.776 0.155
```

Output
**Magnetization**: 0.00 μB per formula unit
**VASP energy**: -111.15 eV/cell
**Uncorrected formation energy**: -0.7571 eV/atom

=====

# 8
Cd6Hg8Sb: relaxed, PBE.

POSCAR file:
```
Cd6Hg8Sb
1.0
7.310 0.598 -0.281
-0.314 7.328 -0.281
0.528 0.598 7.296
Sb Cd Hg
1 6 8
Direct
0.000 0.000 0.000
0.910 0.368 0.770
0.368 0.770 0.910
0.090 0.632 0.230
0.632 0.230 0.090
0.230 0.090 0.632
0.770 0.910 0.368
0.274 0.367 0.946
0.389 0.389 0.389
0.726 0.633 0.054
0.946 0.274 0.367
0.054 0.726 0.633
0.633 0.054 0.726
0.611 0.611 0.611
0.367 0.946 0.274
```

Output
**Magnetization**: 0.00 μB per formula unit
**VASP energy**: -11.37 eV/cell
**Uncorrected formation energy**: 0.0436 eV/atom

=====

Question: Look up the magnetization of the second one.
Answer: 0.00 μB per formula unit